(1)
Compound: PuMgTc
Source: the Alexandria database
Functional: GGA-PBE
Structure: relaxed

Output
DOS at the Fermi energy	21.3	states/eV/cell
final energy	-103.6	eV per cell
formation energy from the elements	0.13	eV/atom

Unit cell a=7.8343 b=4.6693 c=7.2544 alpha=90.00 beta=109.17 gamma=90.00
Space group C2/m (No. 12)
Unique sites:
Pu  0.1240  0.0000  0.3666 x4
Mg  0.2027  0.5000  0.1037 x4
Tc  0.0750  0.5000  0.6884 x4

(2)
Compound: LaCuS2Cl
Source: the Alexandria database
Functional: GGA-PBE
Structure: relaxed

Output
DOS at the Fermi energy	0.7	states/eV/cell
final energy	-24.6	eV per cell
E_form (uncorrected)	-5.5	eV per formula unit

Unit cell a=4.7016 b=4.7016 c=4.5764 alpha=90.00 beta=90.00 gamma=90.00
Space group P4/mmm (No. 123)
Unique sites:
La  0.0000  0.0000  0.0000 x1
Cu  0.5000  0.5000  0.5000 x1
S  0.0000  0.5000  0.5000 x2
Cl  0.5000  0.5000  0.0000 x1

(3)
Compound: Li2TbCeCl8
Source: the Alexandria database
Functional: GGA-PBE
Structure: relaxed

Output
DOS at the Fermi energy	8.5	states/eV/cell
final energy	-53.9	eV per cell
E_form (uncorrected)	-24.7	eV per formula unit

Unit cell a=6.3187 b=8.2043 c=6.3411 alpha=90.00 beta=93.37 gamma=90.00
Space group P2/m (No. 10)
Unique sites:
Li  0.0000  0.2417  0.0000 x2
Tb  0.5000  0.0000  0.5000 x1
Ce  0.5000  0.5000  0.5000 x1
Cl  0.1907  0.5000  0.1859 x2
Cl  0.1976  0.0000  0.1938 x2
Cl  0.3000  0.2402  0.6953 x4

(4)
Compound: TbErSb2O8
Source: the Alexandria database
Functional: GGA-PBE
Structure: relaxed

Output
DOS at the Fermi energy	0.0	states/eV/cell
final energy	-170.7	eV per cell
E_form (uncorrected)	-28.2	eV per formula unit

Unit cell a=5.2496 b=5.2496 c=11.1853 alpha=90.00 beta=90.00 gamma=90.00
Space group I-4 (No. 82)
Unique sites:
Tb  0.0000  0.0000  0.0000 x2
Er  0.0000  0.5000  0.7500 x2
Sb  0.0000  0.0000  0.5000 x2
Sb  0.0000  0.5000  0.2500 x2
O  0.1813  0.2547  0.5901 x8
O  0.1853  0.7543  0.1614 x8